1.
RbPuCl4: optimized geometry, PBE.

abc: 7.6280 10.2226 10.4639
angles: 90.00 90.00 90.00
Atoms (fractional coordinates):
Rb 0.0076 0.1733 0.2500
Rb 0.0076 0.3267 0.7500
Rb 0.9924 0.6733 0.2500
Rb 0.9924 0.8267 0.7500
Pu 0.5000 0.0000 0.0000
Pu 0.5000 0.0000 0.5000
Pu 0.5000 0.5000 0.0000
Pu 0.5000 0.5000 0.5000
Cl 0.1874 0.5824 0.5728
Cl 0.1874 0.5824 0.9272
Cl 0.1874 0.9176 0.0728
Cl 0.1874 0.9176 0.4272
Cl 0.3551 0.2500 0.0000
Cl 0.3551 0.2500 0.5000
Cl 0.3921 0.5290 0.2500
Cl 0.3921 0.9710 0.7500
Cl 0.6079 0.0290 0.2500
Cl 0.6079 0.4710 0.7500
Cl 0.6449 0.7500 0.0000
Cl 0.6449 0.7500 0.5000
Cl 0.8126 0.0824 0.5728
Cl 0.8126 0.0824 0.9272
Cl 0.8126 0.4176 0.0728
Cl 0.8126 0.4176 0.4272

Summary:
Energy: -5.719 eV/atom
M_tot: 0.8333 μB/atom
E_form (uncorrected): -1.9385 eV per atom
Energy relative to the lowest polymorph listed for this composition: 0.000 eV/atom



2.
Hf2Ti4Bi: optimized geometry, PBE.

abc: 7.3549 7.3549 5.5230
angles: 102.14 102.14 91.24
Atoms (fractional coordinates):
Hf 0.0571 0.9429 0.5000
Hf 0.2495 0.7778 0.0241
Hf 0.7778 0.2495 0.5241
Hf 0.9429 0.0571 0.0000
Ti 0.1597 0.3292 0.8381
Ti 0.3292 0.1597 0.3381
Ti 0.5122 0.8651 0.5719
Ti 0.5339 0.5457 0.7730
Ti 0.5457 0.5339 0.2730
Ti 0.6644 0.8525 0.1615
Ti 0.8525 0.6644 0.6615
Ti 0.8651 0.5122 0.0719
Bi 0.1921 0.5430 0.4383
Bi 0.5430 0.1921 0.9383

Summary:
Energy: -7.893 eV/atom
M_tot: 0.0000 μB/atom
ΔE_f: 0.12 eV/f.u.



3.
ZnAg2Ru: optimized geometry, PBE.

abc: 5.0897 5.0897 2.7024
angles: 90.00 90.00 114.52
Atoms (fractional coordinates):
Zn 0.0000 0.0000 0.0000
Ag 0.0000 0.5000 0.5000
Ag 0.5000 0.0000 0.5000
Ru 0.5000 0.5000 0.0000

Summary:
Energy: -3.778 eV/atom
M_tot: 0.0003 μB/atom
ΔE_f: 1.14 eV/f.u.